VASP calculation (PBE-GGA) on crystalline TbBiIr at its relaxed geometry.

Unit cell a=7.6665 b=7.6665 c=4.0336 alpha=90.00 beta=90.00 gamma=120.00
Closest atoms and distances in Å follow each position.
Space group P-62m (No. 189)
One atom of each set of equivalent atoms:
1 Tb 0.0000 0.5978 0.0000 x3  5 Ir 3.08-3.09, 6 Bi 3.26-3.38
2 Bi 0.0000 0.2645 0.5000 x3  4 Ir 2.86
3 Ir 0.0000 0.0000 0.0000 x1  6 Bi 2.86, 3 Tb 3.08
4 Ir 0.3333 0.6667 0.5000 x2  3 Bi 2.86, 6 Tb 3.09

Calculated values
* raw total energy: -6.467 eV per atom